# 1
DFT (PBE) results for a relaxed structure of K2Hg.

## Properties
total DFT energy (no corrections) = -0.93 eV per atom
magnetic moment = 0.00 μB/f.u.
symmetry = No. 164
energy relative to the lowest polymorph listed for this composition = 0.20 eV per formula unit

Structure (CIF):
```
data_K2Hg
_chemical_formula_sum 'K2 Hg1'
_cell_length_a 5.8434
_cell_length_b 5.8434
_cell_length_c 4.8846
_cell_angle_alpha 90.00
_cell_angle_beta 90.00
_cell_angle_gamma 120.00
_symmetry_space_group_name_H-M 'P 1'
_symmetry_Int_Tables_number 1
loop_
_symmetry_equiv_pos_as_xyz
'x,y,z'
loop_
_atom_site_label
_atom_site_fract_x
_atom_site_fract_y
_atom_site_fract_z
K1 0.3333 0.6667 0.2242
K2 0.6667 0.3333 0.7758
Hg1 0.0000 0.0000 0.5000
```



# 2
DFT (PBE) results for a relaxed structure of KTb2C.

## Properties
total DFT energy (no corrections) = -4.92 eV per atom
magnetic moment = 0.00 μB/f.u.
symmetry = No. 166

Structure (CIF):
```
data_KTb2C
_chemical_formula_sum 'K1 Tb2 C1'
_cell_length_a 10.8593
_cell_length_b 10.8593
_cell_length_c 10.8593
_cell_angle_alpha 19.28
_cell_angle_beta 19.28
_cell_angle_gamma 19.28
_symmetry_space_group_name_H-M 'P 1'
_symmetry_Int_Tables_number 1
loop_
_symmetry_equiv_pos_as_xyz
'x,y,z'
loop_
_atom_site_label
_atom_site_fract_x
_atom_site_fract_y
_atom_site_fract_z
K1 0.0000 0.0000 0.0000
Tb1 0.1247 0.1247 0.1247
Tb2 0.8753 0.8753 0.8753
C1 0.5000 0.5000 0.5000
```



| no. | formation energy (meV per atom) |
| --- | --- |
| 1 | -102.1 |
| 2 | -25.2 |